Computed, not measured: a relaxed structure of PrZrPd2 at the PBE level of DFT.

Properties
- DOS at the Fermi energy: 0.9839 states/eV per atom
- Space-group type: R-3m (166)
- Calculated density: 8.040 g/cm³
- Formation energy: -0.6042 eV/atom

a b c (Å): 4.6545 4.6545 5.5873
angles (deg): 65.39 65.39 60.00
Fractional positions:
Pr 0.5000 0.5000 0.5000
Pd 0.2872 0.2872 0.1384
Pd 0.7128 0.7128 0.8616
Zr 0.0000 0.0000 0.0000